NiHgSb2 | GGA-PBEsol | optimized geometry

```
4
Lattice="4.5762 0.0000 0.0000 0.0000 4.5762 0.0000 0.0000 0.0000 3.9541" Properties=species:S:1:pos:R:3 pbc="T T T"
Ni 0.0000 0.0000 0.0000
Hg 2.2881 2.2881 0.0000
Sb 0.0000 2.2881 1.9770
Sb 2.2881 0.0000 1.9770
```

Results
As for the crystal system: tetragonal. As for the energy relative to the elements, uncorrected: 0.3458 eV/atom.

=====

TmLuIn2 | GGA-PBEsol | optimized geometry

```
4
Lattice="0.0000 3.6416 3.6416 3.6416 0.0000 3.6416 3.6416 3.6416 0.0000" Properties=species:S:1:pos:R:3 pbc="T T T"
Tm 0.0000 0.0000 0.0000
Lu 3.6416 3.6416 3.6416
In 1.8208 1.8208 1.8208
In 5.4624 5.4624 5.4624
```

Results
As for the crystal system: cubic. The calculation puts the energy relative to the elements at -10.7 kcal/mol of atoms.

=====

SrScO3 | GGA-PBEsol | optimized geometry

```
5
Lattice="4.0854 0.0000 0.0000 0.0000 4.0854 0.0000 0.0000 0.0000 4.0854" Properties=species:S:1:pos:R:3 pbc="T T T"
Sr 0.0000 0.0000 0.0000
Sc 2.0427 2.0427 2.0427
O 0.0000 2.0427 2.0427
O 2.0427 0.0000 2.0427
O 2.0427 2.0427 0.0000
```

Results
As for the crystal system: cubic. As for the energy relative to the elements, uncorrected: -2.7949 eV/atom.

=====

Sc2CdW | GGA-PBEsol | optimized geometry

```
4
Lattice="1.8771 -2.2152 0.0000 1.8771 2.2152 0.0000 0.0000 0.0000 9.2237" Properties=species:S:1:pos:R:3 pbc="T T T"
Sc 0.0000 0.0000 2.1523
Sc 0.0000 0.0000 7.0713
Cd 1.8771 0.0000 4.6118
W 1.8771 0.0000 0.0000
```

Results
As for the crystal system: orthorhombic. The calculation puts the energy relative to the elements at 0.6 kcal/mol of atoms.

=====

Number 1: electronic total energy -3.614 eV per atom, D(E_F) 2.4 states/eV/cell. Number 2: electronic total energy -4.398 eV per atom, D(E_F) 2.4 states/eV/cell. Number 3: electronic total energy -7.634 eV per atom, D(E_F) 3.8 states/eV/cell. Number 4: electronic total energy -7.028 eV per atom, D(E_F) 3.2 states/eV/cell.